DFT (GGA-PBE) results for Li7Ag4Au after structural relaxation.

The calculation puts the volume at 17.2 Å³/atom. Its formation energy is -155 meV/atom. The total moment is 0.000 μB/f.u. Its density of states at the Fermi level is 8.9 states/eV per cell.

It has space group C2/m (No. 12), with a = 12.809 Å, b = 4.826 Å, c = 7.505 Å, α = 90.00°, β = 117.19° and γ = 90.00°. The inequivalent atoms are Li at (0.000, 0.000, 0.000), Li at (0.073, 0.500, 0.408), Li at (0.193, 0.500, 0.860), Li at (0.218, 0.500, 0.236), Ag at (0.067, 0.000, 0.710), Ag at (0.180, 0.000, 0.380) and Au at (0.000, 0.500, 0.000).